1.
A relaxed structure of Hg2AsSe. Source: Alexandria via LeMat-Bulk, functional PBE-GGA.

Cell lengths 7.170, 7.170, 2.780 Å; angles 90.03, 90.03, 133.18 degrees
Atoms (fractional coordinates):
Hg 0.000 0.500 0.000
Hg 0.500 0.000 0.000
As 0.000 0.000 0.500
Se 0.500 0.500 0.500

DOS at the Fermi energy	2.323	states/eV/f.u.
calculated volume	26.05	Å³ per atom
space-group type	C2/m, No. 12
ΔE_f (raw)	260	meV/atom
spin magnetization	0.00	Bohr magnetons per cell

2.
A relaxed structure of ErMgGa. Source: Alexandria via LeMat-Bulk, functional PBE-GGA.

Cell lengths 7.219, 7.219, 4.420 Å; angles 90.00, 90.00, 120.00 degrees
Atoms (fractional coordinates):
Er 0.000 0.427 0.000
Er 0.427 0.000 0.000
Er 0.573 0.573 0.000
Mg 0.000 0.756 0.500
Mg 0.244 0.244 0.500
Mg 0.756 0.000 0.500
Ga 0.000 0.000 0.000
Ga 0.333 0.667 0.500
Ga 0.667 0.333 0.500

DOS at the Fermi energy	0.311	states/eV/f.u.
ΔH_f (0 K)	-486	meV per atom
calculated volume	22.16	Å³ per atom
space-group type	P-62m, No. 189
spin magnetization	0.00	Bohr magnetons per cell

3.
A relaxed structure of LaBiPt2N. Source: Alexandria via LeMat-Bulk, functional PBE-GGA.

Cell lengths 4.456, 4.456, 4.992 Å; angles 90.00, 90.00, 90.00 degrees
Atoms (fractional coordinates):
La 0.000 0.000 0.000
Bi 0.500 0.500 0.000
Pt 0.000 0.500 0.500
Pt 0.500 0.000 0.500
N 0.500 0.500 0.500

DOS at the Fermi energy	3.934	states/eV/f.u.
calculated volume	19.83	Å³ per atom
space-group type	P4/mmm, No. 123
ΔE_f (raw)	76	meV/atom
spin magnetization	0.00	Bohr magnetons per cell

Question: Look up the DOS at the Fermi energy of the second one.
Answer: 0.311 states/eV/f.u.